Below is a geometry-optimized Pr6NdDy2Ho structure, with properties calculated at the PBE level.

Structure (POSCAR):
```
Pr6NdDy2Ho
1.0
4.6854 -7.6990 0.0000
4.6854 7.6990 0.0000
-1.2822 0.0000 9.6891
Pr Nd Dy Ho
12 2 4 2
Direct
0.0076 0.5633 0.1874
0.1146 0.7588 0.5547
0.2412 0.8854 0.9453
0.2951 0.5111 0.3821
0.4367 0.9924 0.3126
0.4889 0.7049 0.1179
0.5111 0.2951 0.8821
0.5633 0.0076 0.6874
0.7049 0.4889 0.6179
0.7588 0.1146 0.0547
0.8854 0.2412 0.4453
0.9924 0.4367 0.8126
0.0272 0.9728 0.2500
0.9728 0.0272 0.7500
0.2011 0.2972 0.0472
0.2972 0.2011 0.5472
0.7028 0.7989 0.4528
0.7989 0.7028 0.9528
0.4107 0.5893 0.7500
0.5893 0.4107 0.2500
```

## Properties
Total DFT energy (no corrections) ... -4.61 eV/atom